A plane-wave DFT calculation with SCAN was carried out for a crystal of LaTc2Hg relaxed with PBEsol.

Energy of formation from the pure elements in eV/atom: 0.557

Cell: 3.577 3.577 6.442 Å, 90.00 90.00 90.00°
Fractional positions:
La 0.000 0.000 0.000
Tc 0.500 0.500 0.318
Tc 0.500 0.500 0.682
Hg 0.000 0.000 0.500


A plane-wave DFT calculation with SCAN was carried out for a crystal of LaTc2Hg relaxed with PBEsol.

Energy of formation from the pure elements in eV/atom: 0.839

Cell: 2.807 2.807 9.426 Å, 90.00 90.00 90.00°
Fractional positions:
La 0.000 0.000 0.000
Tc 0.500 0.500 0.272
Tc 0.500 0.500 0.728
Hg 0.000 0.000 0.500


A plane-wave DFT calculation with SCAN was carried out for a crystal of LaYTcHg2 relaxed with PBEsol.

Energy of formation from the pure elements in eV/atom: 0.069

Cell: 5.293 5.293 4.824 Å, 90.00 90.00 90.00°
Fractional positions:
La 0.000 0.000 0.000
Y 0.500 0.500 0.000
Tc 0.500 0.500 0.500
Hg 0.000 0.500 0.500
Hg 0.500 0.000 0.500


A plane-wave DFT calculation with SCAN was carried out for a crystal of La2HgTe relaxed with PBEsol.

E above lowest polymorph in meV/atom: 3

Cell: 8.210 8.210 8.210 Å, 30.85 30.85 30.85°
Fractional positions:
La 0.249 0.249 0.249
La 0.751 0.751 0.751
Hg 0.000 0.000 0.000
Te 0.500 0.500 0.500


A plane-wave DFT calculation with SCAN was carried out for a crystal of LaHg2Te relaxed with PBEsol.

VASP energy in eV/atom: -55.012

Cell: 4.503 4.503 5.271 Å, 90.00 90.00 90.00°
Fractional positions:
La 0.000 0.000 0.000
Hg 0.000 0.500 0.500
Hg 0.500 0.000 0.500
Te 0.500 0.500 0.000


A plane-wave DFT calculation with SCAN was carried out for a crystal of La2HgTe2 relaxed with PBEsol.

VASP energy in eV/atom: -46.703

Cell: 7.738 7.738 7.738 Å, 138.97 138.97 59.43°
Fractional positions:
La 0.138 0.138 0.000
La 0.862 0.862 0.000
Hg 0.500 0.500 0.000
Te 0.250 0.750 0.500
Te 0.750 0.250 0.500


A plane-wave DFT calculation with SCAN was carried out for a crystal of LaHg2Te2 relaxed with PBEsol.

VASP energy in eV/atom: -51.371

Cell: 6.080 6.080 6.080 Å, 124.35 124.35 82.62°
Fractional positions:
La 0.000 0.000 0.000
Hg 0.355 0.355 0.000
Hg 0.645 0.645 0.000
Te 0.250 0.750 0.500
Te 0.750 0.250 0.500


A plane-wave DFT calculation with SCAN was carried out for a crystal of La2HgTe relaxed with PBEsol.

E above lowest polymorph in meV/atom: 0

Cell: 4.492 4.492 6.402 Å, 90.00 90.00 90.00°
Fractional positions:
La 0.000 0.000 0.000
La 0.500 0.500 0.500
Hg 0.000 0.000 0.500
Te 0.500 0.500 0.000


A plane-wave DFT calculation with SCAN was carried out for a crystal of LaHgTe relaxed with PBEsol.

VASP energy in eV/atom: -50.292

Cell: 5.223 5.223 5.223 Å, 60.00 60.00 60.00°
Fractional positions:
La 0.000 0.000 0.000
Hg 0.500 0.500 0.500
Te 0.750 0.750 0.750


A plane-wave DFT calculation with SCAN was carried out for a crystal of La3TiHg relaxed with PBEsol.

Energy of formation from the pure elements in eV/atom: 0.423

Cell: 5.829 5.829 5.829 Å, 90.00 90.00 90.00°
Fractional positions:
La 0.000 0.000 0.500
La 0.000 0.500 0.000
La 0.500 0.000 0.000
Ti 0.500 0.500 0.500
Hg 0.000 0.000 0.000


A plane-wave DFT calculation with SCAN was carried out for a crystal of LaTlHg2 relaxed with PBEsol.

Energy of formation from the pure elements in eV/atom: -0.433
E above lowest polymorph in meV/atom: 118

Cell: 3.783 3.783 7.281 Å, 90.00 90.00 90.00°
Fractional positions:
La 0.000 0.000 0.000
Tl 0.000 0.000 0.500
Hg 0.500 0.500 0.261
Hg 0.500 0.500 0.739


A plane-wave DFT calculation with SCAN was carried out for a crystal of LaTl2Hg relaxed with PBEsol.

Energy of formation from the pure elements in eV/atom: -0.439

Cell: 5.317 5.317 5.317 Å, 60.00 60.00 60.00°
Fractional positions:
La 0.000 0.000 0.000
Tl 0.250 0.250 0.250
Tl 0.500 0.500 0.500
Hg 0.750 0.750 0.750


A plane-wave DFT calculation with SCAN was carried out for a crystal of LaTlHg2 relaxed with PBEsol.

Energy of formation from the pure elements in eV/atom: -0.472
E above lowest polymorph in meV/atom: 79

Cell: 5.228 5.228 5.228 Å, 60.00 60.00 60.00°
Fractional positions:
La 0.000 0.000 0.000
Tl 0.750 0.750 0.750
Hg 0.250 0.250 0.250
Hg 0.500 0.500 0.500


A plane-wave DFT calculation with SCAN was carried out for a crystal of La2TlHg relaxed with PBEsol.

Energy of formation from the pure elements in eV/atom: -0.558

Cell: 6.125 6.125 6.125 Å, 135.49 135.49 64.77°
Fractional positions:
La 0.000 0.000 0.000
La 0.750 0.250 0.500
Tl 0.500 0.500 0.000
Hg 0.250 0.750 0.500


A plane-wave DFT calculation with SCAN was carried out for a crystal of LaTl2Hg relaxed with PBEsol.

Energy of formation from the pure elements in eV/atom: -0.493

Cell: 4.742 4.742 4.722 Å, 90.00 90.00 90.00°
Fractional positions:
La 0.000 0.000 0.000
Tl 0.000 0.500 0.500
Tl 0.500 0.000 0.500
Hg 0.500 0.500 0.000


A plane-wave DFT calculation with SCAN was carried out for a crystal of LaTlHg2 relaxed with PBEsol.

Energy of formation from the pure elements in eV/atom: -0.551
E above lowest polymorph in meV/atom: 0

Cell: 5.230 5.230 5.230 Å, 119.72 119.72 90.48°
Fractional positions:
La 0.000 0.000 0.000
Tl 0.500 0.500 0.000
Hg 0.250 0.750 0.500
Hg 0.750 0.250 0.500


A plane-wave DFT calculation with SCAN was carried out for a crystal of La2TlHg2 relaxed with PBEsol.

Energy of formation from the pure elements in eV/atom: -0.648

Cell: 8.390 8.390 4.022 Å, 90.00 90.00 90.00°
Fractional positions:
La 0.175 0.325 0.000
La 0.325 0.825 0.000
La 0.675 0.175 0.000
La 0.825 0.675 0.000
Tl 0.000 0.000 0.500
Tl 0.500 0.500 0.500
Hg 0.124 0.624 0.500
Hg 0.376 0.124 0.500
Hg 0.624 0.876 0.500
Hg 0.876 0.376 0.500


A plane-wave DFT calculation with SCAN was carried out for a crystal of LaTlHg2 relaxed with PBEsol.

Energy of formation from the pure elements in eV/atom: -0.494
E above lowest polymorph in meV/atom: 57

Cell: 4.788 4.788 4.521 Å, 90.00 90.00 90.00°
Fractional positions:
La 0.000 0.000 0.000
Tl 0.500 0.500 0.000
Hg 0.000 0.500 0.500
Hg 0.500 0.000 0.500


A plane-wave DFT calculation with SCAN was carried out for a crystal of LaTlHg relaxed with PBEsol.

Energy of formation from the pure elements in eV/atom: -0.580

Cell: 5.060 5.060 3.572 Å, 90.00 90.00 120.00°
Fractional positions:
La 0.000 0.000 0.000
Tl 0.667 0.333 0.487
Hg 0.333 0.667 0.513


A plane-wave DFT calculation with SCAN was carried out for a crystal of La2TlHg relaxed with PBEsol.

Energy of formation from the pure elements in eV/atom: -0.676

Cell: 5.478 5.478 3.883 Å, 90.00 90.00 90.00°
Fractional positions:
La 0.000 0.500 0.000
La 0.500 0.000 0.000
Tl 0.000 0.000 0.500
Hg 0.500 0.500 0.500


Which size of the total moment belongs to each record? In order, 0.00 0.00 0.00 0.00 0.00 1.47 0.00 0.00 0.00 5.36 0.32 0.00 0.00 0.00 0.00 0.00 0.00 0.00 0.51 0.77 Bohr magnetons per cell.